No. 1
Entry from Alexandria via LeMat-Bulk: a geometry-optimized Hf2BiSb structure (PBE-GGA).

As for the space group: No. 99. The raw formation energy comes out at -0.30 eV per atom. The calculated volume is 98.3 Å³ per cell. The calculation puts the density of states at the Fermi level at 2.74 states/eV/cell.

Lattice parameters (Å, degrees): 3.8634 3.8634 6.5886 90.00 90.00 90.00
Element x y z (fractional)
Hf 0.0000 0.0000 0.0000
Hf 0.5000 0.5000 0.2782
Bi 0.0000 0.0000 0.4714
Sb 0.5000 0.5000 0.8284

No. 2
Entry from Alexandria via LeMat-Bulk: a geometry-optimized ZrTaSi structure (PBE-GGA).

As for the space group: No. 8. The raw formation energy comes out at -0.40 eV per atom. The calculated volume is 110.0 Å³ per cell. The calculation puts the density of states at the Fermi level at 5.23 states/eV/cell.

Lattice parameters (Å, degrees): 6.4350 6.4350 5.5141 115.01 115.01 32.45
Element x y z (fractional)
Zr 0.0000 0.0000 0.0000
Zr 0.7006 0.7006 0.9622
Ta 0.3055 0.3055 0.5588
Ta 0.9965 0.9965 0.5121
Si 0.3739 0.3739 0.1431
Si 0.6341 0.6341 0.4036